A plane-wave DFT calculation with PBE was carried out for NaCaInHg after structural relaxation.

ΔE_f (meV per atom): -291
DOS at the Fermi energy (states/eV/cell): 2.6
Magnetic moment (μB per atom): 0.00
E (eV per atom): -1.881
Polymorph energy (0 for the lowest one) (kJ/mol of formula units): 0

Unit cell a=5.343 b=5.343 c=5.343 alpha=60.00 beta=60.00 gamma=60.00
Atoms (fractional coordinates):
1 Na 0.000 0.000 0.000
2 Ca 0.500 0.500 0.500
3 In 0.750 0.750 0.750
4 Hg 0.250 0.250 0.250

=====

A plane-wave DFT calculation with PBE was carried out for Rb2Si2Bi after structural relaxation.

DOS at the Fermi energy (states/eV/cell): 3.3
Magnetic moment (μB per atom): 0.00
E (eV per atom): -3.239
E_form (uncorrected) (meV per atom): 93

Unit cell a=7.595 b=7.595 c=5.754 alpha=90.00 beta=90.00 gamma=90.00
Atoms (fractional coordinates):
1 Rb 0.196 0.304 0.000
2 Rb 0.304 0.804 0.000
3 Rb 0.696 0.196 0.000
4 Rb 0.804 0.696 0.000
5 Si 0.104 0.604 0.500
6 Si 0.396 0.104 0.500
7 Si 0.604 0.896 0.500
8 Si 0.896 0.396 0.500
9 Bi 0.000 0.000 0.500
10 Bi 0.500 0.500 0.500

=====

A plane-wave DFT calculation with PBE was carried out for AlV3Os after structural relaxation.

ΔE_f (meV per atom): 1456
DOS at the Fermi energy (states/eV/cell): 7.7
Magnetic moment (μB per atom): 0.00
E (eV per atom): -7.009
Polymorph energy (0 for the lowest one) (kJ/mol of formula units): 226

Unit cell a=4.323 b=4.323 c=4.323 alpha=90.00 beta=90.00 gamma=90.00
Atoms (fractional coordinates):
1 Al 0.000 0.000 0.000
2 V 0.000 0.000 0.500
3 V 0.000 0.500 0.000
4 V 0.500 0.000 0.000
5 Os 0.500 0.500 0.500

=====

A plane-wave DFT calculation with PBE was carried out for CaHg2Au2 after structural relaxation.

ΔE_f (meV per atom): -289
DOS at the Fermi energy (states/eV/cell): 5.1
Magnetic moment (μB per atom): 0.00
E (eV per atom): -2.121
Polymorph energy (0 for the lowest one) (kJ/mol of formula units): 44

Unit cell a=7.688 b=7.688 c=3.982 alpha=90.00 beta=90.00 gamma=90.00
Atoms (fractional coordinates):
1 Ca 0.000 0.000 0.000
2 Ca 0.500 0.500 0.000
3 Hg 0.173 0.327 0.500
4 Hg 0.327 0.827 0.500
5 Hg 0.673 0.173 0.500
6 Hg 0.827 0.673 0.500
7 Au 0.129 0.629 0.000
8 Au 0.371 0.129 0.000
9 Au 0.629 0.871 0.000
10 Au 0.871 0.371 0.000

=====

A plane-wave DFT calculation with PBE was carried out for HfTc2Ag after structural relaxation.

ΔE_f (meV per atom): 617
DOS at the Fermi energy (states/eV/cell): 7.1
Magnetic moment (μB per atom): 0.00
E (eV per atom): -7.767
Polymorph energy (0 for the lowest one) (kJ/mol of formula units): 110

Unit cell a=10.144 b=10.144 c=10.144 alpha=158.02 beta=158.02 gamma=31.27
Atoms (fractional coordinates):
1 Hf 0.000 0.000 0.000
2 Hf 0.750 0.250 0.500
3 Tc 0.168 0.625 0.043
4 Tc 0.375 0.418 0.543
5 Tc 0.582 0.125 0.957
6 Tc 0.875 0.832 0.457
7 Ag 0.250 0.750 0.500
8 Ag 0.500 0.500 0.000

=====

A plane-wave DFT calculation with PBE was carried out for Ho2TlF after structural relaxation.

DOS at the Fermi energy (states/eV/cell): 4.0
Magnetic moment (μB per atom): 0.26
E (eV per atom): -4.262
E_form (uncorrected) (meV per atom): -914
Polymorph energy (0 for the lowest one) (kJ/mol of formula units): 143

Unit cell a=3.355 b=3.355 c=7.973 alpha=90.00 beta=90.00 gamma=90.00
Atoms (fractional coordinates):
1 Ho 0.000 0.000 0.228
2 Ho 0.000 0.000 0.772
3 Tl 0.500 0.500 0.500
4 F 0.500 0.500 0.000

=====

A plane-wave DFT calculation with PBE was carried out for LiCaPb5 after structural relaxation.

ΔE_f (meV per atom): -223
DOS at the Fermi energy (states/eV/cell): 3.2
Magnetic moment (μB per atom): 0.00
E (eV per atom): -3.431

Unit cell a=5.059 b=5.059 c=7.957 alpha=90.00 beta=90.00 gamma=90.00
Atoms (fractional coordinates):
1 Li 0.000 0.000 0.000
2 Ca 0.000 0.000 0.500
3 Pb 0.000 0.500 0.206
4 Pb 0.000 0.500 0.794
5 Pb 0.500 0.000 0.206
6 Pb 0.500 0.000 0.794
7 Pb 0.500 0.500 0.500

=====

A plane-wave DFT calculation with PBE was carried out for LaErTlPb after structural relaxation.

ΔE_f (meV per atom): -429
DOS at the Fermi energy (states/eV/cell): 3.4
Magnetic moment (μB per atom): 0.00
E (eV per atom): -4.320
Polymorph energy (0 for the lowest one) (kJ/mol of formula units): 0

Unit cell a=5.752 b=5.752 c=5.752 alpha=127.13 beta=127.13 gamma=78.04
Atoms (fractional coordinates):
1 La 0.000 0.000 0.000
2 Er 0.500 0.500 0.000
3 Tl 0.750 0.250 0.500
4 Pb 0.250 0.750 0.500

=====

A plane-wave DFT calculation with PBE was carried out for CsBeSn3 after structural relaxation.

ΔE_f (meV per atom): 1952
DOS at the Fermi energy (states/eV/cell): 7.4
Magnetic moment (μB per atom): 0.00
E (eV per atom): -1.366
Polymorph energy (0 for the lowest one) (kJ/mol of formula units): 801

Unit cell a=6.266 b=6.266 c=6.266 alpha=90.00 beta=90.00 gamma=90.00
Atoms (fractional coordinates):
1 Cs 0.000 0.000 0.000
2 Be 0.500 0.500 0.500
3 Sn 0.000 0.000 0.500
4 Sn 0.000 0.500 0.000
5 Sn 0.500 0.000 0.000

=====

A plane-wave DFT calculation with PBE was carried out for Pm5Nd2DyEr after structural relaxation.

ΔE_f (meV per atom): 275
DOS at the Fermi energy (states/eV/cell): 27.0
Magnetic moment (μB per atom): 0.00
E (eV per atom): -4.442

Unit cell a=10.272 b=10.272 c=10.272 alpha=130.28 beta=130.28 gamma=72.96
Atoms (fractional coordinates):
1 Pm 0.000 0.000 0.000
2 Pm 0.074 0.574 0.933
3 Pm 0.141 0.074 0.500
4 Pm 0.359 0.859 0.933
5 Pm 0.426 0.359 0.500
6 Pm 0.500 0.500 0.000
7 Pm 0.574 0.641 0.500
8 Pm 0.641 0.141 0.067
9 Pm 0.859 0.926 0.500
10 Pm 0.926 0.426 0.067
11 Nd 0.121 0.379 0.500
12 Nd 0.379 0.879 0.258
13 Nd 0.621 0.121 0.742
14 Nd 0.879 0.621 0.500
15 Dy 0.250 0.250 0.000
16 Dy 0.750 0.750 0.000
17 Er 0.250 0.750 0.500
18 Er 0.750 0.250 0.500

=====

A plane-wave DFT calculation with PBE was carried out for Li5B8C8 after structural relaxation.

ΔE_f (meV per atom): -135
DOS at the Fermi energy (states/eV/cell): 4.2
Magnetic moment (μB per atom): 0.00
E (eV per atom): -6.648
Polymorph energy (0 for the lowest one) (kJ/mol of formula units): 21

Unit cell a=4.690 b=2.725 c=14.359 alpha=90.00 beta=90.42 gamma=90.00
Atoms (fractional coordinates):
1 Li 0.000 0.000 0.000
2 Li 0.001 0.000 0.251
3 Li 0.006 0.000 0.751
4 Li 0.505 0.500 0.751
5 Li 0.508 0.500 0.501
6 B 0.167 0.500 0.625
7 B 0.173 0.500 0.126
8 B 0.343 0.000 0.877
9 B 0.357 0.000 0.370
10 B 0.666 0.000 0.126
11 B 0.672 0.000 0.629
12 B 0.838 0.500 0.873
13 B 0.857 0.500 0.381
14 C 0.175 0.500 0.875
15 C 0.191 0.500 0.370
16 C 0.332 0.000 0.126
17 C 0.335 0.000 0.627
18 C 0.676 0.000 0.871
19 C 0.691 0.000 0.380
20 C 0.834 0.500 0.126
21 C 0.834 0.500 0.631

=====

A plane-wave DFT calculation with PBE was carried out for TlAgSnSe3 after structural relaxation.

DOS at the Fermi energy (states/eV/cell): 2.4
Magnetic moment (μB per atom): 0.00
E (eV per atom): -3.496
E_form (uncorrected) (meV per atom): -217

Unit cell a=7.964 b=7.964 c=7.203 alpha=90.00 beta=90.00 gamma=125.45
Atoms (fractional coordinates):
1 Tl 0.237 0.763 0.750
2 Tl 0.763 0.237 0.250
3 Ag 0.065 0.935 0.250
4 Ag 0.935 0.065 0.750
5 Sn 0.438 0.562 0.250
6 Sn 0.562 0.438 0.750
7 Se 0.244 0.244 0.000
8 Se 0.244 0.244 0.500
9 Se 0.259 0.741 0.250
10 Se 0.741 0.259 0.750
11 Se 0.756 0.756 0.000
12 Se 0.756 0.756 0.500